# 1
DFT (GGA-PBE) results for crystalline LiB5N at its relaxed geometry.

Structure (POSCAR):
```
LiB5N
1.0
5.3094 0.0000 0.0000
-2.6547 2.8880 1.2253
0.0000 3.2105 8.3673
B Li N
10 2 2
direct
0.1958 0.4289 0.1422
0.4820 0.0023 0.6420
0.2492 0.0000 0.2500
0.5180 0.9977 0.3580
0.4797 0.9977 0.8580
0.7508 0.0000 0.7500
0.7669 0.5711 0.3578
0.8042 0.5711 0.8578
0.5203 0.0023 0.1420
0.2331 0.4289 0.6422
0.0000 0.0000 0.0000
0.0000 0.0000 0.5000
0.7505 0.0000 0.2500
0.2495 0.0000 0.7500
```

Results
Total magnetization, μB/atom: 0.0000
Crystal system: monoclinic
Formation energy (no corrections), meV/atom: 16

***

# 2
DFT (GGA-PBE) results for crystalline KLa2Hg at its relaxed geometry.

Structure (POSCAR):
```
KLa2Hg
1.0
-0.6045 -1.5755 -5.6863
-0.3424 -3.4646 0.9963
-6.6330 -0.1448 0.7452
K La Hg
1 2 1
direct
0.5000 0.7500 0.7500
0.0000 0.0345 0.0445
0.0000 0.4655 0.4555
0.5000 0.2500 0.2500
```

Results
Total magnetization, μB/atom: 0.0001
Crystal system: monoclinic
Formation energy from the elements, kJ per mole of atoms: 6.4

***

# 3
DFT (GGA-PBE) results for crystalline PuZnAgGe at its relaxed geometry.

Structure (POSCAR):
```
PuZnAgGe
1.0
4.8160 0.0000 0.0000
2.4080 4.1707 0.0000
2.4080 1.3902 3.9322
Zn Ag Ge Pu
1 1 1 1
direct
0.2500 0.2500 0.2500
0.5000 0.5000 0.5000
0.7500 0.7500 0.7500
0.0000 0.0000 0.0000
```

Results
Total magnetization, μB/atom: 1.3337
Crystal system: cubic
Formation energy from the elements, kJ per mole of atoms: -14.0

***

no.,DOS(E_F) (states/eV per cell)
1,3.44
2,4.17
3,8.61